Version i
VASP calculation (PBE) on an optimized crystal structure of BeSiPd.

```
data_BeSiPd
_symmetry_space_group_name_H-M 'I 4 m m'
_symmetry_Int_Tables_number 107
_symmetry_space_group_name_Hall 'I 4 -2'
_cell_length_a 3.163
_cell_length_b 3.163
_cell_length_c 7.452
_cell_angle_alpha 90.00
_cell_angle_beta 90.00
_cell_angle_gamma 90.00
loop_
_atom_site_label
_atom_site_type_symbol
_atom_site_fract_x
_atom_site_fract_y
_atom_site_fract_z
_atom_site_occupancy
Be1 Be 0.000 0.000 0.000 1
Si1 Si 0.000 0.000 0.329 1
Pd1 Pd 0.000 0.000 0.660 1
```

Summary:
Total magnetic moment ... 0.0 μB/cell

---

Version ii
VASP calculation (PBE) on an optimized crystal structure of BeSiPd.

```
data_BeSiPd
_symmetry_space_group_name_H-M 'F -4 3 m'
_symmetry_Int_Tables_number 216
_symmetry_space_group_name_Hall 'F -4 2 3'
_cell_length_a 5.569
_cell_length_b 5.569
_cell_length_c 5.569
_cell_angle_alpha 90.00
_cell_angle_beta 90.00
_cell_angle_gamma 90.00
loop_
_atom_site_label
_atom_site_type_symbol
_atom_site_fract_x
_atom_site_fract_y
_atom_site_fract_z
_atom_site_occupancy
Be1 Be 0.000 0.000 0.000 1
Si1 Si 0.000 0.000 0.500 1
Pd1 Pd 0.250 0.250 0.250 1
```

Summary:
Total magnetic moment ... 0.0 μB/cell

---

Which of them is the most stable? Correct choice: version i.

---

Version i
VASP calculation (PBE) on an optimized crystal structure of Be2SiPd2.

```
data_Be2SiPd2
_symmetry_space_group_name_H-M 'P 4/m b m'
_symmetry_Int_Tables_number 127
_symmetry_space_group_name_Hall '-P 4 2ab'
_cell_length_a 6.161
_cell_length_b 6.161
_cell_length_c 3.144
_cell_angle_alpha 90.00
_cell_angle_beta 90.00
_cell_angle_gamma 90.00
loop_
_atom_site_label
_atom_site_type_symbol
_atom_site_fract_x
_atom_site_fract_y
_atom_site_fract_z
_atom_site_occupancy
Be1 Be 0.126 0.374 0.000 1
Si1 Si 0.000 0.000 0.000 1
Pd1 Pd 0.167 0.667 0.500 1
```

Summary:
Total magnetic moment ... 0.0 μB/cell

---

Version ii
VASP calculation (PBE) on an optimized crystal structure of Be2SiPd2.

```
data_Be2SiPd2
_symmetry_space_group_name_H-M 'P 4/m b m'
_symmetry_Int_Tables_number 127
_symmetry_space_group_name_Hall '-P 4 2ab'
_cell_length_a 6.522
_cell_length_b 6.522
_cell_length_c 2.945
_cell_angle_alpha 90.00
_cell_angle_beta 90.00
_cell_angle_gamma 90.00
loop_
_atom_site_label
_atom_site_type_symbol
_atom_site_fract_x
_atom_site_fract_y
_atom_site_fract_z
_atom_site_occupancy
Be1 Be 0.136 0.364 0.000 1
Si1 Si 0.000 0.000 0.500 1
Pd1 Pd 0.158 0.658 0.500 1
```

Summary:
Total magnetic moment ... 0.0 μB/cell

---

Which of them is the most stable? Correct choice: version i.

---

Version i
VASP calculation (PBE) on an optimized crystal structure of BeSiPd3.

```
data_BeSiPd3
_symmetry_space_group_name_H-M 'P -1'
_symmetry_Int_Tables_number 2
_symmetry_space_group_name_Hall '-P 1'
_cell_length_a 3.877
_cell_length_b 5.282
_cell_length_c 7.113
_cell_angle_alpha 87.75
_cell_angle_beta 89.95
_cell_angle_gamma 68.57
loop_
_atom_site_label
_atom_site_type_symbol
_atom_site_fract_x
_atom_site_fract_y
_atom_site_fract_z
_atom_site_occupancy
Be1 Be 0.239 0.024 0.390 1
Si1 Si 0.404 0.689 0.136 1
Pd1 Pd 0.106 0.288 0.654 1
Pd2 Pd 0.150 0.199 0.062 1
Pd3 Pd 0.392 0.714 0.656 1
```

Summary:
Total magnetic moment ... 0.0 μB/cell

---

Version ii
VASP calculation (PBE) on an optimized crystal structure of BeSiPd3.

```
data_BeSiPd3
_symmetry_space_group_name_H-M 'P m -3 m'
_symmetry_Int_Tables_number 221
_symmetry_space_group_name_Hall '-P 4 2 3'
_cell_length_a 4.195
_cell_length_b 4.195
_cell_length_c 4.195
_cell_angle_alpha 90.00
_cell_angle_beta 90.00
_cell_angle_gamma 90.00
loop_
_atom_site_label
_atom_site_type_symbol
_atom_site_fract_x
_atom_site_fract_y
_atom_site_fract_z
_atom_site_occupancy
Be1 Be 0.000 0.000 0.000 1
Si1 Si 0.500 0.500 0.500 1
Pd1 Pd 0.000 0.000 0.500 1
```

Summary:
Total magnetic moment ... 0.0 μB/cell

---

Which of them is the most stable? Correct choice: version i.

---

Version i
VASP calculation (PBE) on an optimized crystal structure of Sm2BePd.

```
data_Sm2BePd
_symmetry_space_group_name_H-M 'F m -3 m'
_symmetry_Int_Tables_number 225
_symmetry_space_group_name_Hall '-F 4 2 3'
_cell_length_a 7.106
_cell_length_b 7.106
_cell_length_c 7.106
_cell_angle_alpha 90.00
_cell_angle_beta 90.00
_cell_angle_gamma 90.00
loop_
_atom_site_label
_atom_site_type_symbol
_atom_site_fract_x
_atom_site_fract_y
_atom_site_fract_z
_atom_site_occupancy
Sm1 Sm 0.250 0.250 0.250 1
Be1 Be 0.000 0.000 0.000 1
Pd1 Pd 0.000 0.000 0.500 1
```

Summary:
Total magnetic moment ... 0.0 μB/cell

---

Version ii
VASP calculation (PBE) on an optimized crystal structure of Sm2BePd.

```
data_Sm2BePd
_symmetry_space_group_name_H-M 'P 4/m m m'
_symmetry_Int_Tables_number 123
_symmetry_space_group_name_Hall '-P 4 2'
_cell_length_a 3.574
_cell_length_b 3.574
_cell_length_c 6.932
_cell_angle_alpha 90.00
_cell_angle_beta 90.00
_cell_angle_gamma 90.00
loop_
_atom_site_label
_atom_site_type_symbol
_atom_site_fract_x
_atom_site_fract_y
_atom_site_fract_z
_atom_site_occupancy
Sm1 Sm 0.000 0.000 0.244 1
Be1 Be 0.500 0.500 0.000 1
Pd1 Pd 0.500 0.500 0.500 1
```

Summary:
Total magnetic moment ... 0.0 μB/cell

---

Which of them is the most stable? Correct choice: version ii.